Cr4CoTe: optimized geometry, PBEsol.

CIF file:
```
data_Cr4CoTe
_space_group_name_H-M_alt 'F -4 3 m'
_space_group_IT_number 216
_space_group_name_Hall 'F -4 2 3'
_cell_length_a 6.716
_cell_length_b 6.716
_cell_length_c 6.716
_cell_angle_alpha 90.00
_cell_angle_beta 90.00
_cell_angle_gamma 90.00
loop_
_atom_site_label
_atom_site_fract_x
_atom_site_fract_y
_atom_site_fract_z
Cr1 0.124 0.124 0.124
Co1 0.250 0.250 0.750
Te1 0.000 0.000 0.500
```

E_form (uncorrected): 3.0 eV/f.u.

Cr2CoTe4: optimized geometry, PBEsol.

CIF file:
```
data_Cr2CoTe4
_space_group_name_H-M_alt 'C 1 2/m 1'
_space_group_IT_number 12
_cell_length_a 13.021
_cell_length_b 3.935
_cell_length_c 6.717
_cell_angle_alpha 90.00
_cell_angle_beta 120.33
_cell_angle_gamma 90.00
loop_
_space_group_symop_operation_xyz
'x,y,z'
'-x,-y,-z'
'-x,y,-z'
'x,-y,z'
'x+1/2,y+1/2,z'
'-x+1/2,-y+1/2,-z'
'-x+1/2,y+1/2,-z'
'x+1/2,-y+1/2,z'
loop_
_atom_site_label
_atom_site_fract_x
_atom_site_fract_y
_atom_site_fract_z
Cr1 0.245 0.000 0.229
Co1 0.000 0.500 0.500
Te1 0.114 0.500 0.950
Te2 0.124 0.000 0.463
```

E_form (uncorrected): -0.8 eV/f.u.

CrCo2Te: optimized geometry, PBEsol.

CIF file:
```
data_CrCo2Te
_space_group_name_H-M_alt 'P 4 m m'
_space_group_IT_number 99
_cell_length_a 3.202
_cell_length_b 3.202
_cell_length_c 5.184
_cell_angle_alpha 90.00
_cell_angle_beta 90.00
_cell_angle_gamma 90.00
loop_
_space_group_symop_operation_xyz
'x,y,z'
'-y,x,z'
'-x,-y,z'
'y,-x,z'
'-x,y,z'
'y,x,z'
'x,-y,z'
'-y,-x,z'
loop_
_atom_site_label
_atom_site_fract_x
_atom_site_fract_y
_atom_site_fract_z
Cr1 0.000 0.000 0.000
Co1 0.000 0.000 0.556
Co2 0.500 0.500 0.802
Te1 0.500 0.500 0.312
```

E_form (uncorrected): 1.7 eV/f.u.

CrCo3Te: optimized geometry, PBEsol.

CIF file:
```
data_CrCo3Te
_space_group_name_H-M_alt 'P m -3 m'
_space_group_IT_number 221
_space_group_name_Hall '-P 4 2 3'
_cell_length_a 4.185
_cell_length_b 4.185
_cell_length_c 4.185
_cell_angle_alpha 90.00
_cell_angle_beta 90.00
_cell_angle_gamma 90.00
loop_
_atom_site_label
_atom_site_fract_x
_atom_site_fract_y
_atom_site_fract_z
Cr1 0.000 0.000 0.000
Co1 0.000 0.000 0.500
Te1 0.500 0.500 0.500
```

E_form (uncorrected): 5.4 eV/f.u.

CrCoTe: optimized geometry, PBEsol.

CIF file:
```
data_CrCoTe
_space_group_name_H-M_alt 'I 4 m m'
_space_group_IT_number 107
_space_group_name_Hall 'I 4 -2'
_cell_length_a 3.414
_cell_length_b 3.414
_cell_length_c 7.758
_cell_angle_alpha 90.00
_cell_angle_beta 90.00
_cell_angle_gamma 90.00
loop_
_atom_site_label
_atom_site_fract_x
_atom_site_fract_y
_atom_site_fract_z
Cr1 0.000 0.000 0.000
Co1 0.000 0.000 0.654
Te1 0.000 0.000 0.332
```

E_form (uncorrected): 1.3 eV/f.u.

CrCo2Te: optimized geometry, PBEsol.

CIF file:
```
data_CrCo2Te
_space_group_name_H-M_alt 'I -4 2 d'
_space_group_IT_number 122
_space_group_name_Hall 'I -4 2bw'
_cell_length_a 3.778
_cell_length_b 3.778
_cell_length_c 16.446
_cell_angle_alpha 90.00
_cell_angle_beta 90.00
_cell_angle_gamma 90.00
loop_
_atom_site_label
_atom_site_fract_x
_atom_site_fract_y
_atom_site_fract_z
Cr1 0.000 0.000 0.000
Co1 0.219 0.250 0.125
Te1 0.000 0.000 0.500
```

E_form (uncorrected): 2.4 eV/f.u.

no.,total magnetic moment (μB/f.u.)
1,0.97
2,6.99
3,2.35
4,0.00
5,3.90
6,1.30